[1]
{"formula": "Y6SbS5", "functional": "PBE-GGA", "state": "optimized geometry", "lattice": [[-6.3246, -2.6631, -0.9331], [4.7874, -0.6194, -4.9659], [2.5163, -4.5791, 4.6129]], "species": ["Y", "Y", "Y", "Y", "Y", "Y", "Sb", "S", "S", "S", "S", "S"], "frac_coords": [[0.9108, 0.5625, 0.7335], [0.4375, 0.0892, 0.2665], [0.7389, 0.7389, 0.2628], [0.2611, 0.2611, 0.7372], [0.5625, 0.9108, 0.7335], [0.0892, 0.4375, 0.2665], [0.0000, 0.0000, 0.0000], [0.8399, 0.1601, 0.5000], [0.6676, 0.3324, 0.0000], [0.5000, 0.5000, 0.5000], [0.3324, 0.6676, 0.0000], [0.1601, 0.8399, 0.5000]], "energy_ev_per_atom": -7.1180, "e_form_raw_kj_per_mol_fu": -2110, "vol_a3_per_cell": 273, "m_tot_mub_per_cell": 0.0}

[2]
{"formula": "Y3Sb2S", "functional": "PBE-GGA", "state": "optimized geometry", "lattice": [[0.6408, 3.3339, -2.5119], [4.8107, -2.7574, -2.4324], [-6.4672, -2.9074, -1.9584]], "species": ["Y", "Y", "Y", "Sb", "Sb", "S"], "frac_coords": [[0.8468, 0.3468, 0.1936], [0.1532, 0.6532, 0.8064], [0.5000, 0.0000, 0.5000], [0.8287, 0.8287, 0.1573], [0.1713, 0.1713, 0.8427], [0.5000, 0.5000, 0.5000]], "energy_ev_per_atom": -6.6995, "e_form_raw_kj_per_mol_fu": -814, "vol_a3_per_cell": 163, "de_polymorph_mev_per_atom": 0, "m_tot_mub_per_cell": 0.0}

[3]
{"formula": "Y2SbS", "functional": "PBE-GGA", "state": "optimized geometry", "lattice": [[4.1479, -0.0003, -0.0020], [-2.0730, 3.5927, 0.0020], [-2.0661, -1.2021, 6.8351]], "species": ["Y", "Y", "Sb", "S"], "frac_coords": [[0.5168, 0.2580, 0.7749], [0.4832, 0.7419, 0.2251], [0.0000, 0.5000, 0.5000], [0.0000, 0.0000, 0.0000]], "energy_ev_per_atom": -6.8326, "e_form_raw_kj_per_mol_fu": -594, "vol_a3_per_cell": 102, "de_polymorph_mev_per_atom": 0, "m_tot_mub_per_cell": 0.0}

[4]
{"formula": "Y3SbS", "functional": "PBE-GGA", "state": "optimized geometry", "lattice": [[5.1571, 0.0000, 0.0000], [0.0000, 5.1571, 0.0000], [0.0000, 0.0000, 5.1571]], "species": ["Y", "Y", "Y", "Sb", "S"], "frac_coords": [[0.0000, 0.5000, 0.0000], [0.0000, 0.0000, 0.5000], [0.5000, 0.0000, 0.0000], [0.5000, 0.5000, 0.5000], [0.0000, 0.0000, 0.0000]], "energy_ev_per_atom": -6.4307, "e_form_raw_kj_per_mol_fu": -435, "vol_a3_per_cell": 137, "de_polymorph_mev_per_atom": 393, "m_tot_mub_per_cell": 0.0}

[5]
{"formula": "Y5Sb4S", "functional": "PBE-GGA", "state": "optimized geometry", "lattice": [[6.1214, 0.0000, 0.0000], [3.0607, 6.7969, 0.0000], [3.0607, 0.0000, 6.7969]], "species": ["Y", "Y", "Y", "Y", "Y", "Sb", "Sb", "Sb", "Sb", "S"], "frac_coords": [[0.9022, 0.3858, 0.8120], [0.2880, 0.8120, 0.6142], [0.7142, 0.1880, 0.3858], [0.1000, 0.6142, 0.1880], [0.5000, 0.0000, 0.0000], [0.4064, 0.3965, 0.7929], [0.8029, 0.7929, 0.6035], [0.1993, 0.2071, 0.3965], [0.5958, 0.6035, 0.2071], [0.0015, 0.0000, 0.0000]], "energy_ev_per_atom": -6.6050, "e_form_raw_kj_per_mol_fu": -1265, "vol_a3_per_cell": 283, "de_polymorph_mev_per_atom": 0, "m_tot_mub_per_cell": 0.0}

[6]
{"formula": "YSbS3", "functional": "PBE-GGA", "state": "optimized geometry", "lattice": [[-0.4419, 4.7387, 1.5325], [-4.5961, 0.2046, -1.9578], [-1.9182, -1.5817, 4.3379]], "species": ["Y", "Sb", "S", "S", "S"], "frac_coords": [[0.5000, 0.5000, 0.5000], [0.0000, 0.0000, 0.0000], [0.0000, 0.5000, 0.0000], [0.0000, 0.0000, 0.5000], [0.5000, 0.0000, 0.0000]], "energy_ev_per_atom": -4.9788, "e_form_raw_kj_per_mol_fu": -186, "vol_a3_per_cell": 125, "de_polymorph_mev_per_atom": 752, "m_tot_mub_per_cell": 0.0}